No. 1
4
Lattice="4.900 0.000 0.000 2.450 4.244 0.000 2.450 1.415 4.001" Properties=species:S:1:pos:R:3 comment="SCAN LiNiPb2, single point on PBEsol structure" total_magnetization_mub_per_cell=0.00 final_energy_ev_per_atom=-42.208 pbc="T T T"
Li 4.900 2.829 2.001
Pb 2.450 1.415 1.000
Pb 0.000 0.000 0.000
Ni 7.351 4.244 3.001

No. 2
4
Lattice="-1.467 -2.859 -1.913 2.526 -2.409 1.664 -2.782 -0.710 3.196" Properties=species:S:1:pos:R:3 comment="SCAN Li2NiPb, single point on PBEsol structure" total_magnetization_mub_per_cell=0.00 final_energy_ev_per_atom=-24.320 pbc="T T T"
Li 0.346 -2.992 -0.364
Li -0.183 -0.357 -0.239
Pb -0.312 -1.917 2.190
Ni -2.308 -2.143 0.402

No. 3
4
Lattice="-2.805 1.047 0.803 0.616 -1.485 4.088 3.148 3.757 0.891" Properties=species:S:1:pos:R:3 comment="SCAN Li2NiPb, single point on PBEsol structure" total_magnetization_mub_per_cell=0.00 final_energy_ev_per_atom=-24.215 pbc="T T T"
Pb 1.882 1.136 2.489
Li -0.157 1.159 0.445
Li 0.501 3.645 1.249
Ni -1.094 -0.219 2.445

No. 4
4
Lattice="-0.371 1.021 3.316 3.780 -2.480 1.186 2.703 3.718 -0.843" Properties=species:S:1:pos:R:3 comment="SCAN LiNiPb2, single point on PBEsol structure" total_magnetization_mub_per_cell=0.00 final_energy_ev_per_atom=-42.462 pbc="T T T"
Ni -0.185 0.510 1.658
Li 3.056 1.130 1.830
Pb 1.890 -1.240 0.593
Pb 1.352 1.859 -0.421